## Sr2AlW (PBE-GGA)

Data for a geometry-optimized Sr2AlW structure.

## Properties
ΔE_f   805 meV/atom
Volume   25.097 Å³ per atom

The structure in CIF format:
```
data_Sr2AlW
_cell_length_a 3.093
_cell_length_b 3.093
_cell_length_c 10.492
_cell_angle_alpha 90.00
_cell_angle_beta 90.00
_cell_angle_gamma 90.00
_symmetry_space_group_name_H-M 'P 4/m m m'
_symmetry_Int_Tables_number 123
_symmetry_space_group_name_Hall '-P 4 2'
loop_
_atom_site_label
_atom_site_fract_x
_atom_site_fract_y
_atom_site_fract_z
_atom_site_occupancy
Sr1 0.000 0.000 0.247 1
Al1 0.500 0.500 0.500 1
W1 0.500 0.500 0.000 1
```